VASP calculation (PBEsol) on a relaxed structure of HgP2SCl.

**Total DFT energy (no corrections)**: -12.5 eV per cell
**Crystal system**: tetragonal
**DOS at the Fermi energy**: 5.682 states/eV/f.u.
**ΔE_f (raw)**: 1.20 eV/atom
**Spin magnetization**: 0.4 μB/f.u.

POSCAR file:
```
HgP2SCl
1.0
4.690 0.000 0.000
0.000 4.690 0.000
0.000 0.000 4.540
Cl S P Hg
1 1 2 1
Direct
0.000 0.000 0.000
0.000 0.000 0.500
0.500 0.000 0.000
0.000 0.500 0.000
0.500 0.500 0.500
```



VASP calculation (PBEsol) on a relaxed structure of MgSc3.

**Total DFT energy (no corrections)**: -21.3 eV per cell
**Crystal system**: tetragonal
**DOS at the Fermi energy**: 7.322 states/eV/f.u.
**Energy above the most stable polymorph in this dataset**: 0.067 eV per atom
**Spin magnetization**: 1.3 μB/f.u.

POSCAR file:
```
MgSc3
1.0
-1.962 2.809 3.035
-2.739 -3.399 1.375
5.371 -0.901 0.854
Sc Mg
3 1
Direct
0.500 0.500 0.000
0.250 0.750 0.500
0.750 0.250 0.500
0.000 0.000 0.000
```



VASP calculation (PBEsol) on a relaxed structure of CaTi2AuCl.

**Total DFT energy (no corrections)**: -24.3 eV per cell
**Crystal system**: tetragonal
**DOS at the Fermi energy**: 4.632 states/eV/f.u.
**ΔE_f (raw)**: 0.09 eV/atom
**Spin magnetization**: 0.0 μB/f.u.

POSCAR file:
```
CaTi2AuCl
1.0
-2.454 -1.218 3.478
-2.477 -2.548 -2.641
3.381 -4.225 0.906
Ti Au Cl Ca
2 1 1 1
Direct
0.000 0.500 0.000
0.500 0.000 0.000
0.000 0.000 0.500
0.000 0.000 0.000
0.500 0.500 0.500
```



VASP calculation (PBEsol) on a relaxed structure of CuRh2.

**Total DFT energy (no corrections)**: -40.7 eV per cell
**Crystal system**: monoclinic
**DOS at the Fermi energy**: 4.257 states/eV/f.u.
**Energy above the most stable polymorph in this dataset**: 0.032 eV per atom
**Spin magnetization**: 0.0 μB/f.u.

POSCAR file:
```
CuRh2
1.0
-2.042 0.605 1.603
0.287 -5.005 0.039
4.007 1.822 4.416
Rh Cu
4 2
Direct
0.638 0.275 0.526
0.697 0.394 0.137
0.303 0.606 0.863
0.362 0.725 0.474
0.026 0.052 0.810
0.974 0.948 0.190
```



VASP calculation (PBEsol) on a relaxed structure of ScSbN2F.

**Total DFT energy (no corrections)**: -33.1 eV per cell
**Crystal system**: tetragonal
**DOS at the Fermi energy**: 2.872 states/eV/f.u.
**ΔE_f (raw)**: -0.58 eV/atom
**Spin magnetization**: 0.6 μB/f.u.

POSCAR file:
```
ScSbN2F
1.0
-1.154 0.436 3.671
3.924 -0.710 1.318
0.822 4.112 -0.231
N F Sb Sc
2 1 1 1
Direct
0.000 0.500 0.000
0.000 0.000 0.500
0.500 0.000 0.000
0.500 0.500 0.500
0.000 0.000 0.000
```



VASP calculation (PBEsol) on a relaxed structure of SiAsP2.

**Total DFT energy (no corrections)**: -20.5 eV per cell
**Crystal system**: tetragonal
**DOS at the Fermi energy**: 1.952 states/eV/f.u.
**ΔE_f (raw)**: 0.48 eV/atom
**Spin magnetization**: 0.0 μB/f.u.

POSCAR file:
```
SiAsP2
1.0
3.122 0.000 0.000
0.000 4.403 0.000
0.000 0.000 4.403
As P Si
1 2 1
Direct
0.500 0.000 0.000
0.000 0.500 0.000
0.000 0.000 0.500
0.500 0.500 0.500
```



VASP calculation (PBEsol) on a relaxed structure of Li2CaTl2.

**Total DFT energy (no corrections)**: -12.8 eV per cell
**Crystal system**: tetragonal
**DOS at the Fermi energy**: 1.781 states/eV/f.u.
**Energy above the most stable polymorph in this dataset**: 0.000 eV per atom
**Spin magnetization**: 0.0 μB/f.u.

POSCAR file:
```
Li2CaTl2
1.0
-1.934 0.315 3.569
-3.575 0.103 -1.946
2.332 -7.304 -0.413
Tl Ca Li
2 1 2
Direct
0.390 0.390 0.780
0.610 0.610 0.220
0.000 0.000 0.000
0.750 0.250 0.500
0.250 0.750 0.500
```



VASP calculation (PBEsol) on a relaxed structure of SiTc2Sn.

**Total DFT energy (no corrections)**: -32.7 eV per cell
**Crystal system**: cubic
**DOS at the Fermi energy**: 3.445 states/eV/f.u.
**ΔE_f (raw)**: -0.03 eV/atom
**Spin magnetization**: 0.0 μB/f.u.

POSCAR file:
```
SiTc2Sn
1.0
4.372 0.000 0.000
2.186 3.786 0.000
2.186 1.262 3.570
Tc Si Sn
2 1 1
Direct
0.750 0.750 0.750
0.250 0.250 0.250
0.000 0.000 0.000
0.500 0.500 0.500
```



VASP calculation (PBEsol) on a relaxed structure of Ca2MgZr.

**Total DFT energy (no corrections)**: -13.6 eV per cell
**Crystal system**: tetragonal
**DOS at the Fermi energy**: 5.601 states/eV/f.u.
**Spin magnetization**: 2.0 μB/f.u.

POSCAR file:
```
Ca2MgZr
1.0
3.559 0.000 0.000
0.000 5.725 0.000
0.000 0.000 5.725
Mg Ca Zr
1 2 1
Direct
0.500 0.500 0.500
0.000 0.000 0.500
0.000 0.500 0.000
0.500 0.000 0.000
```



VASP calculation (PBEsol) on a relaxed structure of Ta2CdPt.

**Total DFT energy (no corrections)**: -33.0 eV per cell
**Crystal system**: tetragonal
**DOS at the Fermi energy**: 4.124 states/eV/f.u.
**Spin magnetization**: 0.0 μB/f.u.

POSCAR file:
```
Ta2CdPt
1.0
3.517 0.000 0.000
0.000 3.517 0.000
0.000 0.000 5.631
Pt Ta Cd
1 2 1
Direct
0.500 0.500 0.500
0.000 0.000 0.269
0.000 0.000 0.731
0.500 0.500 0.000
```



VASP calculation (PBEsol) on a relaxed structure of TaCd2Sb.

**Total DFT energy (no corrections)**: -18.6 eV per cell
**Crystal system**: trigonal
**DOS at the Fermi energy**: 3.137 states/eV/f.u.
**ΔE_f (raw)**: 0.21 eV/atom
**Spin magnetization**: 0.0 μB/f.u.

POSCAR file:
```
TaCd2Sb
1.0
-1.128 2.092 2.097
-2.771 1.444 -0.535
-5.867 -5.886 5.113
Sb Ta Cd
1 1 2
Direct
0.494 0.494 0.517
0.750 0.750 0.750
0.254 0.254 0.239
0.002 0.002 0.994
```



VASP calculation (PBEsol) on a relaxed structure of Co2PtPb.

**Total DFT energy (no corrections)**: -25.4 eV per cell
**Crystal system**: tetragonal
**DOS at the Fermi energy**: 3.960 states/eV/f.u.
**Spin magnetization**: 2.6 μB/f.u.

POSCAR file:
```
Co2PtPb
1.0
3.863 0.000 0.000
0.000 3.870 0.000
-1.932 -1.935 3.866
Co Pt Pb
2 1 1
Direct
0.000 0.000 0.001
0.750 0.250 0.500
0.250 0.750 0.500
0.500 0.500 0.000
```



VASP calculation (PBEsol) on a relaxed structure of MgAs2S2O4F12.

**Total DFT energy (no corrections)**: -429.1 eV per cell
**Crystal system**: monoclinic
**DOS at the Fermi energy**: 0.000 states/eV/f.u.
**ΔE_f (raw)**: -2.02 eV/atom
**Spin magnetization**: 0.0 μB/f.u.

POSCAR file:
```
MgAs2S2O4F12
1.0
-1.510 9.872 0.630
-1.530 -0.892 10.313
12.048 1.257 1.896
O F Mg S As
16 48 4 8 8
Direct
0.278 0.048 0.520
0.265 0.270 0.581
0.222 0.548 0.980
0.238 0.764 0.578
0.450 0.795 0.487
0.235 0.770 0.919
0.550 0.205 0.513
0.762 0.236 0.422
0.778 0.452 0.020
0.722 0.952 0.480
0.735 0.730 0.419
0.262 0.264 0.922
0.738 0.736 0.078
0.050 0.295 0.013
0.765 0.230 0.081
0.950 0.705 0.987
0.921 0.373 0.633
0.120 0.399 0.761
0.880 0.601 0.239
0.093 0.501 0.194
0.076 0.020 0.902
0.628 0.416 0.683
0.879 0.868 0.269
0.077 0.969 0.356
0.405 0.397 0.768
0.905 0.103 0.268
0.894 0.617 0.628
0.103 0.842 0.185
0.872 0.916 0.817
0.576 0.480 0.402
0.907 0.499 0.806
0.606 0.117 0.872
0.424 0.520 0.598
0.397 0.342 0.315
0.621 0.368 0.231
0.079 0.627 0.367
0.407 0.001 0.306
0.923 0.031 0.644
0.897 0.158 0.815
0.577 0.531 0.856
0.620 0.101 0.261
0.121 0.132 0.731
0.423 0.469 0.144
0.387 0.014 0.914
0.095 0.897 0.732
0.595 0.603 0.232
0.106 0.383 0.372
0.128 0.084 0.183
0.372 0.584 0.317
0.380 0.899 0.739
0.421 0.127 0.133
0.595 0.864 0.256
0.113 0.514 0.586
0.924 0.980 0.098
0.379 0.632 0.769
0.905 0.364 0.244
0.613 0.986 0.086
0.394 0.883 0.128
0.579 0.873 0.867
0.095 0.636 0.756
0.405 0.136 0.744
0.603 0.658 0.685
0.887 0.486 0.414
0.593 0.999 0.694
0.761 0.234 0.252
0.261 0.266 0.752
0.739 0.734 0.248
0.239 0.766 0.748
0.224 0.681 0.009
0.724 0.819 0.509
0.193 0.283 0.023
0.276 0.181 0.491
0.776 0.319 0.991
0.693 0.217 0.523
0.307 0.783 0.477
0.807 0.717 0.977
0.001 0.505 0.690
0.010 0.973 0.223
0.990 0.027 0.777
0.999 0.495 0.310
0.490 0.473 0.277
0.499 0.005 0.810
0.501 0.995 0.190
0.510 0.527 0.723
```



VASP calculation (PBEsol) on a relaxed structure of Zr3Zn.

**Total DFT energy (no corrections)**: -58.6 eV per cell
**Crystal system**: hexagonal
**DOS at the Fermi energy**: 5.188 states/eV/f.u.
**Spin magnetization**: 0.0 μB/f.u.

POSCAR file:
```
Zr3Zn
1.0
4.968 0.000 0.000
0.000 6.055 0.000
0.000 -3.028 5.244
Zr Zn
6 2
Direct
0.750 0.172 0.828
0.250 0.343 0.172
0.750 0.657 0.828
0.250 0.828 0.172
0.250 0.828 0.657
0.750 0.172 0.343
0.750 0.667 0.333
0.250 0.333 0.667
```



VASP calculation (PBEsol) on a relaxed structure of KLiReSe2.

**Total DFT energy (no corrections)**: -15.2 eV per cell
**Crystal system**: tetragonal
**DOS at the Fermi energy**: 3.590 states/eV/f.u.
**ΔE_f (raw)**: 1.78 eV/atom
**Spin magnetization**: 6.7 μB/f.u.

POSCAR file:
```
KLiReSe2
1.0
5.605 0.000 0.000
0.000 5.716 0.000
0.000 0.000 5.716
Re Se Li K
1 2 1 1
Direct
0.500 0.000 0.000
0.000 0.500 0.000
0.000 0.000 0.500
0.500 0.500 0.500
0.000 0.000 0.000
```



VASP calculation (PBEsol) on a relaxed structure of Nd4Mn3NiO12.

**Total DFT energy (no corrections)**: -169.7 eV per cell
**Crystal system**: triclinic
**DOS at the Fermi energy**: 3.540 states/eV/f.u.
**ΔE_f (raw)**: -2.53 eV/atom
**Spin magnetization**: 12.3 μB/f.u.

POSCAR file:
```
Nd4Mn3NiO12
1.0
-2.114 -0.086 -4.934
3.149 -4.314 -1.282
-5.503 -4.706 2.431
O Ni Mn Nd
12 1 3 4
Direct
0.287 0.289 0.543
0.713 0.711 0.457
0.784 0.202 0.040
0.423 0.015 0.250
0.211 0.788 0.543
0.300 0.284 0.960
0.216 0.798 0.960
0.789 0.212 0.457
0.078 0.515 0.257
0.577 0.985 0.750
0.922 0.485 0.743
0.700 0.716 0.040
0.000 0.500 0.000
0.500 0.000 0.500
0.000 0.500 0.500
0.500 0.000 0.000
0.511 0.451 0.246
0.489 0.549 0.754
0.988 0.947 0.245
0.012 0.053 0.755
```



VASP calculation (PBEsol) on a relaxed structure of Y2OsPt.

**Total DFT energy (no corrections)**: -35.0 eV per cell
**Crystal system**: orthorhombic
**DOS at the Fermi energy**: 1.228 states/eV/f.u.
**Spin magnetization**: 0.0 μB/f.u.

POSCAR file:
```
Y2OsPt
1.0
-3.181 -1.798 0.537
0.733 -2.355 -3.544
4.107 -2.688 2.636
Os Pt Y
1 1 2
Direct
0.546 0.000 0.091
0.704 0.500 0.408
0.980 0.500 0.960
0.270 0.000 0.541
```



VASP calculation (PBEsol) on a relaxed structure of Hg2IrRu.

**Total DFT energy (no corrections)**: -18.4 eV per cell
**Crystal system**: tetragonal
**DOS at the Fermi energy**: 5.407 states/eV/f.u.
**Spin magnetization**: 1.3 μB/f.u.

POSCAR file:
```
Hg2IrRu
1.0
-2.058 1.936 1.538
-3.122 -3.298 -0.026
1.561 -1.509 3.989
Ru Hg Ir
1 2 1
Direct
0.500 0.000 0.000
0.000 0.500 0.000
0.000 0.000 0.500
0.500 0.500 0.500
```



VASP calculation (PBEsol) on a relaxed structure of MgZn2Au.

**Total DFT energy (no corrections)**: -9.8 eV per cell
**Crystal system**: cubic
**DOS at the Fermi energy**: 0.851 states/eV/f.u.
**Spin magnetization**: 0.0 μB/f.u.

POSCAR file:
```
MgZn2Au
1.0
4.471 0.000 0.000
2.235 3.872 0.000
2.235 1.291 3.650
Zn Mg Au
2 1 1
Direct
0.250 0.250 0.250
0.000 0.000 0.000
0.750 0.750 0.750
0.500 0.500 0.500
```



VASP calculation (PBEsol) on a relaxed structure of BaCa2Zn.

**Total DFT energy (no corrections)**: -7.7 eV per cell
**Crystal system**: cubic
**DOS at the Fermi energy**: 2.373 states/eV/f.u.
**Spin magnetization**: 0.0 μB/f.u.

POSCAR file:
```
BaCa2Zn
1.0
-3.630 2.108 3.973
-5.472 1.192 -1.428
-4.298 -3.292 2.024
Ba Ca Zn
1 2 1
Direct
0.500 0.500 0.500
0.000 0.000 0.000
0.750 0.750 0.750
0.250 0.250 0.250
```



VASP calculation (PBEsol) on a relaxed structure of InPAu2.

**Total DFT energy (no corrections)**: -16.0 eV per cell
**Crystal system**: tetragonal
**DOS at the Fermi energy**: 1.064 states/eV/f.u.
**Spin magnetization**: 0.0 μB/f.u.

POSCAR file:
```
InPAu2
1.0
-1.067 3.780 1.045
-2.561 0.149 -3.152
-1.333 -3.538 3.535
In Au P
1 2 1
Direct
0.500 0.500 0.000
0.250 0.750 0.500
0.750 0.250 0.500
0.000 0.000 0.000
```



VASP calculation (PBEsol) on a relaxed structure of SrLiAl2.

**Total DFT energy (no corrections)**: -12.5 eV per cell
**Crystal system**: trigonal
**DOS at the Fermi energy**: 2.745 states/eV/f.u.
**Energy above the most stable polymorph in this dataset**: 0.021 eV per atom
**Spin magnetization**: 0.0 μB/f.u.

POSCAR file:
```
SrLiAl2
1.0
-0.229 0.022 -4.488
2.291 -3.046 -2.382
-3.800 -4.547 -2.079
Li Sr Al
1 1 2
Direct
0.500 0.500 0.500
0.000 0.000 0.000
0.804 0.804 0.588
0.196 0.196 0.412
```



VASP calculation (PBEsol) on a relaxed structure of Sc2In.

**Total DFT energy (no corrections)**: -33.4 eV per cell
**Crystal system**: tetragonal
**DOS at the Fermi energy**: 3.599 states/eV/f.u.
**Spin magnetization**: 0.9 μB/f.u.

POSCAR file:
```
Sc2In
1.0
3.123 0.000 0.000
0.000 3.123 0.000
-1.561 -1.561 14.077
Sc In
4 2
Direct
0.424 0.424 0.848
0.826 0.326 0.652
0.576 0.576 0.152
0.674 0.174 0.348
0.250 0.750 0.500
0.000 0.000 0.000
```



VASP calculation (PBEsol) on a relaxed structure of CoOs3.

**Total DFT energy (no corrections)**: -44.0 eV per cell
**Crystal system**: hexagonal
**DOS at the Fermi energy**: 3.242 states/eV/f.u.
**Spin magnetization**: 1.0 μB/f.u.

POSCAR file:
```
CoOs3
1.0
-1.960 -1.457 -1.152
2.009 -1.238 1.312
-4.405 0.338 7.067
Os Co
3 1
Direct
0.667 0.333 0.758
0.000 0.000 0.500
0.667 0.333 0.242
0.000 0.000 0.000
```